Run 1
A relaxed structure of Zn2PbCl, computed with GGA-PBEsol.

Cell: 6.9952 6.9952 6.9952 Å, 90.00 90.00 90.00°
Closest atoms and distances in Å follow each position.
Space group Fm-3m (No. 225)
One atom of each set of equivalent atoms:
Zn1 0.2500 0.2500 0.2500 (multiplicity 8)  4 Cl 3.03, 4 Pb 3.03
Pb1 0.0000 0.0000 0.0000 (multiplicity 4)  8 Zn 3.03
Cl1 0.0000 0.0000 0.5000 (multiplicity 4)  8 Zn 3.03

***

Run 2
A relaxed structure of Zn2PbCl, computed with GGA-PBEsol.

Cell: 3.2818 5.6859 4.7039 Å, 90.00 92.70 90.00°
Closest atoms and distances in Å follow each position.
Space group P2/m (No. 10)
One atom of each set of equivalent atoms:
Zn1 0.2217 0.0000 0.2546 (multiplicity 2)  3 Zn 2.74-2.88
Pb1 0.0000 0.5000 0.5000 (multiplicity 1)  4 Cl 2.80-2.93
Cl1 0.5000 0.5000 0.0000 (multiplicity 1)  4 Pb 2.80-2.93

***

Computed energies relative to the best structure, in eV/atom: run 1 0.163; run 2 0.000

***

Run 1
A relaxed structure of Zn2PbCl, computed with GGA-PBEsol.

Cell: 3.6762 3.6762 6.4822 Å, 90.00 90.00 90.00°
Closest atoms and distances in Å follow each position.
Space group P4mm (No. 99)
One atom of each set of equivalent atoms:
Zn1 0.0000 0.0000 0.0000 (multiplicity 1)  1 Cl 2.57
Zn2 0.5000 0.5000 0.2275 (multiplicity 1)  1 Pb 2.81, 4 Cl 2.82, 4 Zn 2.99
Pb1 0.5000 0.5000 0.7943 (multiplicity 1)  5 Zn 2.81-2.92
Cl1 0.0000 0.0000 0.3963 (multiplicity 1)  5 Zn 2.57-2.82

***

Run 2
A relaxed structure of Zn2PbCl, computed with GGA-PBEsol.

Cell: 3.3554 4.8460 10.6069 Å, 90.00 90.00 90.00°
Closest atoms and distances in Å follow each position.
Space group Immm (No. 71)
One atom of each set of equivalent atoms:
Zn1 0.0000 0.0000 0.2440 (multiplicity 4)  4 Zn 2.95, 2 Pb 3.08, 2 Cl 3.19
Pb1 0.0000 0.5000 0.5000 (multiplicity 2)  4 Cl 2.95, 4 Zn 3.08
Cl1 0.0000 0.5000 0.0000 (multiplicity 2)  4 Pb 2.95, 4 Zn 3.19

***

Computed energies relative to the best structure, in eV/atom: run 1 0.000; run 2 0.085

***

Run 1
A relaxed structure of ZnPb2Cl, computed with GGA-PBEsol.

Cell: 3.4058 5.7604 5.5449 Å, 90.00 107.66 90.00°
Closest atoms and distances in Å follow each position.
Space group Pm (No. 6)
One atom of each set of equivalent atoms:
Zn1 0.0000 0.0000 0.0000 (multiplicity 1)  3 Pb 2.81-3.03
Pb1 0.2578 0.5000 0.4864 (multiplicity 1)  2 Cl 2.74-3.04
Pb2 0.7434 0.0000 0.4687 (multiplicity 1)  3 Zn 2.81-3.03
Cl1 0.5309 0.5000 0.0041 (multiplicity 1)  2 Pb 2.74-3.04

***

Run 2
A relaxed structure of ZnPb2Cl, computed with GGA-PBEsol.

Cell: 10.2388 3.4838 5.7170 Å, 90.00 101.16 90.00°
Closest atoms and distances in Å follow each position.
Space group C2/m (No. 12)
One atom of each set of equivalent atoms:
Zn1 0.0000 0.0000 0.0000 (multiplicity 2)  4 Pb 3.00, 4 Cl 3.35
Pb1 0.2232 0.5000 0.2444 (multiplicity 4)  1 Cl 2.94, 2 Zn 3.00
Cl1 0.0000 0.5000 0.5000 (multiplicity 2)  2 Pb 2.94

***

Run 3
A relaxed structure of ZnPb2Cl, computed with GGA-PBEsol.

Cell: 3.3972 5.0244 5.8836 Å, 90.00 94.45 90.00°
Closest atoms and distances in Å follow each position.
Space group P2/m (No. 10)
One atom of each set of equivalent atoms:
Zn1 0.0000 0.0000 0.0000 (multiplicity 1)  4 Pb 3.04, 2 Cl 3.28, 2 Zn 3.40
Pb1 0.2470 0.5000 0.7571 (multiplicity 2)  2 Zn 3.04, 2 Cl 3.09, 4 Pb 3.22-3.40
Cl1 0.5000 0.0000 0.5000 (multiplicity 1)  4 Pb 3.09, 2 Zn 3.28, 2 Cl 3.40

***

Computed energies relative to the best structure, in eV/atom: run 1 0.000; run 2 0.037; run 3 0.051